[1]
Pa2GaB2Ru5 GGA-PBE relaxed; SG = P4/mbm (127)
1.0
3.2159 0.0000 0.0000
0.0000 9.5274 0.0000
0.0000 0.0000 9.5274
Pa B Ru Ga
4 4 10 2
direct
0.0000 0.3240 0.8240
0.0000 0.1760 0.3240
0.0000 0.8240 0.6760
0.0000 0.6760 0.1760
0.0000 0.8778 0.3778
0.0000 0.1222 0.6222
0.0000 0.6222 0.8778
0.0000 0.3778 0.1222
0.5000 0.0000 0.5000
0.5000 0.7814 0.9285
0.5000 0.9285 0.2186
0.5000 0.5715 0.7186
0.5000 0.2186 0.0715
0.5000 0.4285 0.2814
0.5000 0.5000 0.0000
0.5000 0.7186 0.4285
0.5000 0.0715 0.7814
0.5000 0.2814 0.5715
0.0000 0.5000 0.5000
0.0000 0.0000 0.0000

***

[2]
Ga2BPb GGA-PBE relaxed; SG = I-42d (122); distance to the lowest polymorph of the same formula = 0.0 meV per atom
1.0
6.2202 0.0000 0.0000
0.0000 6.2202 0.0000
3.1101 3.1101 4.5213
B Ga Pb
2 4 2
direct
0.2500 0.7500 0.5000
0.5000 0.5000 0.0000
0.2630 0.6250 0.2500
0.4870 0.1250 0.2500
0.3750 0.5130 0.7500
0.8750 0.7370 0.7500
0.0000 0.0000 0.0000
0.7500 0.2500 0.5000

***

[3]
GaBPb2 GGA-PBE relaxed; SG = I-42d (122); distance to the lowest polymorph of the same formula = 0.0 meV per atom
1.0
-5.9213 -1.4450 -0.9250
1.0149 -0.2705 -6.0747
-1.1942 -6.3068 -3.0469
Pb B Ga
4 2 2
direct
0.3750 0.4386 0.7500
0.5614 0.1250 0.2500
0.1886 0.6250 0.2500
0.8750 0.8114 0.7500
0.5000 0.5000 0.0000
0.2500 0.7500 0.5000
0.7500 0.2500 0.5000
0.0000 0.0000 0.0000

***

[4]
Ga3BPb GGA-PBE relaxed; SG = Pm-3m (221); distance to the lowest polymorph of the same formula = 1190.7 meV per atom
1.0
5.5192 0.0000 0.0000
0.0000 5.5192 0.0000
0.0000 0.0000 5.5192
Ga Pb B
3 1 1
direct
0.0000 0.0000 0.5000
0.5000 0.0000 0.0000
0.0000 0.5000 0.0000
0.0000 0.0000 0.0000
0.5000 0.5000 0.5000

***

[5]
GaBPb2 GGA-PBE relaxed; SG = Fm-3m (225); distance to the lowest polymorph of the same formula = 207.3 meV per atom
1.0
0.0000 3.5563 3.5563
3.5563 0.0000 3.5563
3.5563 3.5563 0.0000
B Pb Ga
1 2 1
direct
0.0000 0.0000 0.0000
0.2500 0.2500 0.2500
0.7500 0.7500 0.7500
0.5000 0.5000 0.5000

***

[6]
GaB3Pb GGA-PBE relaxed; SG = Pm-3m (221); distance to the lowest polymorph of the same formula = 701.4 meV per atom
1.0
-1.9216 -0.6932 4.2354
1.7922 -4.3462 0.1018
3.8996 1.6558 2.0403
Pb Ga B
1 1 3
direct
0.0000 0.0000 0.0000
0.5000 0.5000 0.5000
0.0000 0.0000 0.5000
0.5000 0.0000 0.0000
0.0000 0.5000 0.0000

***

no.,formation energy (eV per formula unit),DOS at the Fermi energy (states/eV/cell)
1,-6.3,8.29
2,1.6,1.44
3,2.8,2.09
4,8.0,4.32
5,3.6,1.98
6,12.1,2.06